Entry 1:
! LiNb2Co (PBE, optimized geometry); values from VASP
! Energy above the most stable polymorph in this dataset: 0.000 eV per formula unit
! Calculated total energy: -28.27 eV for the cell shown
! Total moment: 1.95 μB/f.u.
! SG: No. 225
! Calculated formation energy: 21.6 kJ/mol of atoms
&SYSTEM
  ibrav = 0, nat = 4, ntyp = 3
/
ATOMIC_SPECIES
Li 6.94 Li.upf
Nb 92.91 Nb.upf
Co 58.93 Co.upf
CELL_PARAMETERS angstrom
0.0000 3.0979 3.0979
3.0979 0.0000 3.0979
3.0979 3.0979 0.0000
ATOMIC_POSITIONS crystal
Li 0.0000 0.0000 0.0000
Nb 0.2500 0.2500 0.2500
Nb 0.7500 0.7500 0.7500
Co 0.5000 0.5000 0.5000

=====

Entry 2:
! Li3NbCo (PBE, optimized geometry); values from VASP
! Calculated total energy: -13.65 eV for the cell shown
! Total moment: 4.12 μB/f.u.
! SG: No. 221
! Calculated formation energy: 178.8 kJ/mol of atoms
&SYSTEM
  ibrav = 0, nat = 5, ntyp = 3
/
ATOMIC_SPECIES
Li 6.94 Li.upf
Nb 92.91 Nb.upf
Co 58.93 Co.upf
CELL_PARAMETERS angstrom
4.7842 0.0000 0.0000
0.0000 4.7842 0.0000
0.0000 0.0000 4.7842
ATOMIC_POSITIONS crystal
Li 0.0000 0.0000 0.5000
Li 0.0000 0.5000 0.0000
Li 0.5000 0.0000 0.0000
Nb 0.0000 0.0000 0.0000
Co 0.5000 0.5000 0.5000

=====

Entry 3:
! Li2NbCo (PBE, optimized geometry); values from VASP
! Energy above the most stable polymorph in this dataset: 0.000 eV per formula unit
! Calculated total energy: -18.51 eV for the cell shown
! Total moment: 1.38 μB/f.u.
! SG: No. 225
! Calculated formation energy: 60.2 kJ/mol of atoms
&SYSTEM
  ibrav = 0, nat = 4, ntyp = 3
/
ATOMIC_SPECIES
Li 6.94 Li.upf
Nb 92.91 Nb.upf
Co 58.93 Co.upf
CELL_PARAMETERS angstrom
0.0000 2.9591 2.9591
2.9591 0.0000 2.9591
2.9591 2.9591 0.0000
ATOMIC_POSITIONS crystal
Li 0.2500 0.2500 0.2500
Li 0.7500 0.7500 0.7500
Nb 0.0000 0.0000 0.0000
Co 0.5000 0.5000 0.5000

=====

Entry 4:
! LiNb2Co (PBE, optimized geometry); values from VASP
! Energy above the most stable polymorph in this dataset: 0.467 eV per formula unit
! Calculated total energy: -27.80 eV for the cell shown
! Total moment: 0.52 μB/f.u.
! SG: No. 166
! Calculated formation energy: 32.8 kJ/mol of atoms
&SYSTEM
  ibrav = 0, nat = 4, ntyp = 3
/
ATOMIC_SPECIES
Li 6.94 Li.upf
Nb 92.91 Nb.upf
Co 58.93 Co.upf
CELL_PARAMETERS angstrom
1.3955 0.8057 9.8927
-1.3955 0.8057 9.8927
0.0000 -1.6114 9.8927
ATOMIC_POSITIONS crystal
Li 0.0000 0.0000 0.0000
Nb 0.0946 0.0946 0.0946
Nb 0.9054 0.9054 0.9054
Co 0.5000 0.5000 0.5000

=====

Entry 5:
! LiNb2Co2 (PBE, optimized geometry); values from VASP
! Energy above the most stable polymorph in this dataset: 0.000 eV per formula unit
! Calculated total energy: -72.54 eV for the cell shown
! Total moment: 0.00 μB/f.u.
! SG: No. 127
! Calculated formation energy: -0.1 kJ/mol of atoms
&SYSTEM
  ibrav = 0, nat = 10, ntyp = 3
/
ATOMIC_SPECIES
Li 6.94 Li.upf
Nb 92.91 Nb.upf
Co 58.93 Co.upf
CELL_PARAMETERS angstrom
7.1097 0.0000 0.0000
0.0000 7.1097 0.0000
0.0000 0.0000 2.9222
ATOMIC_POSITIONS crystal
Li 0.0000 0.0000 0.0000
Li 0.5000 0.5000 0.0000
Nb 0.1650 0.3350 0.5000
Nb 0.3350 0.8350 0.5000
Nb 0.6650 0.1650 0.5000
Nb 0.8350 0.6650 0.5000
Co 0.1331 0.6331 0.0000
Co 0.3669 0.1331 0.0000
Co 0.6331 0.8669 0.0000
Co 0.8669 0.3669 0.0000

=====

Entry 6:
! LiNbCo4 (PBE, optimized geometry); values from VASP
! Calculated total energy: -40.66 eV for the cell shown
! Total moment: 3.52 μB/f.u.
! SG: No. 216
! Calculated formation energy: -4.0 kJ/mol of atoms
&SYSTEM
  ibrav = 0, nat = 6, ntyp = 3
/
ATOMIC_SPECIES
Li 6.94 Li.upf
Nb 92.91 Nb.upf
Co 58.93 Co.upf
CELL_PARAMETERS angstrom
0.0000 3.3282 3.3282
3.3282 0.0000 3.3282
3.3282 3.3282 0.0000
ATOMIC_POSITIONS crystal
Li 0.0000 0.0000 0.0000
Nb 0.2500 0.2500 0.2500
Co 0.1239 0.6254 0.6254
Co 0.6254 0.1239 0.6254
Co 0.6254 0.6254 0.1239
Co 0.6254 0.6254 0.6254

=====

Entry 7:
! Li2NbCo (PBE, optimized geometry); values from VASP
! Energy above the most stable polymorph in this dataset: 0.257 eV per formula unit
! Calculated total energy: -36.50 eV for the cell shown
! Total moment: 1.43 μB/f.u.
! SG: No. 122
! Calculated formation energy: 66.4 kJ/mol of atoms
&SYSTEM
  ibrav = 0, nat = 8, ntyp = 3
/
ATOMIC_SPECIES
Li 6.94 Li.upf
Nb 92.91 Nb.upf
Co 58.93 Co.upf
CELL_PARAMETERS angstrom
-3.4836 3.4836 2.3823
3.4836 -3.4836 2.3823
3.4836 3.4836 -2.3823
ATOMIC_POSITIONS crystal
Li 0.0886 0.6250 0.9636
Li 0.3750 0.3386 0.4636
Li 0.6614 0.1250 0.0364
Li 0.8750 0.9114 0.5364
Nb 0.2500 0.7500 0.5000
Nb 0.5000 0.5000 0.0000
Co 0.0000 0.0000 0.0000
Co 0.7500 0.2500 0.5000